Below is a relaxed structure of CdReOs4, with properties calculated at the PBE level.

Output
- Energy: -213.78 eV per cell

Cell lengths 7.2968, 7.2968, 7.2968 Å; angles 90.00, 90.00, 90.00 degrees
Space group F-43m (No. 216)
Unique sites:
Cd1 0.0000 0.0000 0.0000 (multiplicity 4)
Re1 0.2500 0.2500 0.2500 (multiplicity 4)
Os1 0.1249 0.1249 0.6249 (multiplicity 16)


Below is a relaxed structure of CdReOs2, with properties calculated at the PBE level.

Output
- Energy: -32.32 eV per cell

Cell lengths 2.8452, 4.6759, 4.7554 Å; angles 90.00, 90.00, 90.00 degrees
Space group Pmmm (No. 47)
Unique sites:
Cd1 0.0000 0.0000 0.0000 (multiplicity 1)
Re1 0.5000 0.0000 0.5000 (multiplicity 1)
Os1 0.0000 0.5000 0.5000 (multiplicity 1)
Os2 0.5000 0.5000 0.0000 (multiplicity 1)


Below is a relaxed structure of CdReOs2, with properties calculated at the PBE level.

Output
- Energy: -67.42 eV per cell

Cell lengths 9.4422, 2.8122, 4.8602 Å; angles 90.00, 101.24, 90.00 degrees
Space group Cm (No. 8)
Unique sites:
Cd1 0.0000 0.0000 0.0000 (multiplicity 2)
Re1 0.2696 0.5000 0.3032 (multiplicity 2)
Os1 0.0093 0.5000 0.4960 (multiplicity 2)
Os2 0.2371 0.0000 0.7536 (multiplicity 2)


Below is a relaxed structure of CdReOs, with properties calculated at the PBE level.

Output
- Energy: -46.24 eV per cell

Cell lengths 2.8544, 3.7697, 9.2420 Å; angles 90.00, 90.00, 90.00 degrees
Space group Imm2 (No. 44)
Unique sites:
Cd1 0.0000 0.0000 0.0000 (multiplicity 2)
Re1 0.0000 0.0000 0.3107 (multiplicity 2)
Os1 0.0000 0.0000 0.6876 (multiplicity 2)


Below is a relaxed structure of CdReOs2, with properties calculated at the PBE level.

Output
- Energy: -104.60 eV per cell

Cell lengths 2.7969, 2.7969, 27.9305 Å; angles 90.00, 90.00, 120.00 degrees
Space group R-3m (No. 166, hexagonal axes)
Unique sites:
Cd1 0.0000 0.0000 0.0000 (multiplicity 3)
Re1 0.0000 0.0000 0.5000 (multiplicity 3)
Os1 0.0000 0.0000 0.2429 (multiplicity 6)


Below is a relaxed structure of CdRe2Os, with properties calculated at the PBE level.

Output
- Energy: -70.11 eV per cell

Cell lengths 9.4356, 2.8018, 4.9365 Å; angles 90.00, 100.96, 90.00 degrees
Space group Cm (No. 8)
Unique sites:
Cd1 0.0000 0.0000 0.0000 (multiplicity 2)
Re1 0.0059 0.5000 0.5011 (multiplicity 2)
Re2 0.2667 0.5000 0.2869 (multiplicity 2)
Os1 0.2357 0.0000 0.7287 (multiplicity 2)